No. 1
Sc3H6Ru | PBE | optimized geometry

It has space group R-3 (No. 148, hexagonal axes), with a = 8.2552 Å, b = 8.2552 Å, c = 9.8687 Å, α = 90.00°, β = 90.00° and γ = 120.00°. The inequivalent atoms are Sc at (0.0216, 0.2506, 0.2300), H at (0.0151, 0.1676, 0.8803), H at (0.0318, 0.2176, 0.4321), Ru at (0.0000, 0.0000, 0.0000) and Ru at (0.0000, 0.0000, 0.5000).

The energy comes out at -5.250 eV/atom.

No. 2
ScBeCd2Fe | PBE | optimized geometry

It has space group P4/mmm (No. 123), with a = 4.4944 Å, b = 4.4944 Å, c = 4.8367 Å, α = 90.00°, β = 90.00° and γ = 90.00°. The inequivalent atoms are Sc at (0.0000, 0.0000, 0.0000), Be at (0.0000, 0.0000, 0.5000), Cd at (0.0000, 0.5000, 0.5000) and Fe at (0.5000, 0.5000, 0.0000).

The energy of formation comes out at 0.552 eV per atom. The energy comes out at -3.518 eV/atom.

No. 3
KTb2OsO8 | PBE | optimized geometry

It has space group P-1 (No. 2), with a = 4.1521 Å, b = 5.2991 Å, c = 7.1777 Å, α = 89.49°, β = 74.96° and γ = 88.97°. The inequivalent atoms are K at (0.0000, 0.0000, 0.0000), Tb at (0.3855, 0.5180, 0.2862), Os at (0.0000, 0.0000, 0.5000), O at (0.1781, 0.4932, 0.0028), O at (0.1851, 0.3140, 0.5831), O at (0.2070, 0.7845, 0.6359) and O at (0.3493, 0.9533, 0.2692).

The energy comes out at -7.082 eV/atom.

No. 4
RbInSi | PBE | optimized geometry

It has space group P-1 (No. 2), with a = 5.9344 Å, b = 6.5119 Å, c = 7.1886 Å, α = 116.67°, β = 114.35° and γ = 90.01°. The inequivalent atoms are Rb at (0.1911, 0.1769, 0.3825), In at (0.4830, 0.7712, 0.9662) and Si at (0.1913, 0.5002, 0.0005).

The energy comes out at -2.984 eV/atom.